No. 1
# PmSn2Pt2, relaxed, DFT PBE
data_PmSn2Pt2
_cell_length_a 4.700
_cell_length_b 4.567
_cell_length_c 10.568
_cell_angle_alpha 90.00
_cell_angle_beta 91.84
_cell_angle_gamma 90.00
_symmetry_space_group_name_H-M 'P 1 21/m 1'
_symmetry_Int_Tables_number 11
loop_
_symmetry_equiv_pos_as_xyz
'x,y,z'
'-x,-y,-z'
'-x,y+1/2,-z'
'x,-y+1/2,z'
loop_
_atom_site_label
_atom_site_fract_x
_atom_site_fract_y
_atom_site_fract_z
_atom_site_occupancy
Pm1 0.226 0.250 0.239 1
Sn1 0.252 0.750 0.496 1
Sn2 0.300 0.250 0.875 1
Pt1 0.193 0.750 0.001 1
Pt2 0.256 0.250 0.630 1
# ΔH_f (0 K): -839 meV/atom
# E_tot: -5.807 eV per atom
# Magnetic moment: 0.000 μB per formula unit

---

No. 2
# Th4Hg2C, relaxed, DFT PBE
data_Th4Hg2C
_cell_length_a 6.490
_cell_length_b 6.757
_cell_length_c 9.518
_cell_angle_alpha 90.00
_cell_angle_beta 109.90
_cell_angle_gamma 90.00
_symmetry_space_group_name_H-M 'P 1 21/m 1'
_symmetry_Int_Tables_number 11
loop_
_symmetry_equiv_pos_as_xyz
'x,y,z'
'-x,-y,-z'
'-x,y+1/2,-z'
'x,-y+1/2,z'
loop_
_atom_site_label
_atom_site_fract_x
_atom_site_fract_y
_atom_site_fract_z
_atom_site_occupancy
Th1 0.040 0.014 0.294 1
Th2 0.369 0.250 0.060 1
Th3 0.440 0.250 0.658 1
Hg1 0.182 0.750 0.024 1
Hg2 0.339 0.750 0.596 1
C1 0.205 0.250 0.802 1
# ΔH_f (0 K): -98 meV/atom
# E_tot: -5.742 eV per atom
# Magnetic moment: 0.000 μB per formula unit

---

No. 3
# BeSi3, relaxed, DFT PBE
data_BeSi3
_cell_length_a 4.719
_cell_length_b 4.719
_cell_length_c 4.719
_cell_angle_alpha 90.00
_cell_angle_beta 90.00
_cell_angle_gamma 90.00
_symmetry_space_group_name_H-M 'P m -3 n'
_symmetry_Int_Tables_number 223
_symmetry_space_group_name_Hall '-P 4n 2 3'
loop_
_atom_site_label
_atom_site_fract_x
_atom_site_fract_y
_atom_site_fract_z
_atom_site_occupancy
Be1 0.000 0.000 0.000 1
Si1 0.000 0.250 0.500 1
# E_tot: -4.429 eV per atom
# Magnetic moment: 0.000 μB per formula unit

---

No. 4
# Ca3Al3Au8, relaxed, DFT PBE
data_Ca3Al3Au8
_cell_length_a 16.495
_cell_length_b 4.618
_cell_length_c 8.981
_cell_angle_alpha 90.00
_cell_angle_beta 122.76
_cell_angle_gamma 90.00
_symmetry_space_group_name_H-M 'C 1 2/m 1'
_symmetry_Int_Tables_number 12
loop_
_symmetry_equiv_pos_as_xyz
'x,y,z'
'-x,-y,-z'
'-x,y,-z'
'x,-y,z'
'x+1/2,y+1/2,z'
'-x+1/2,-y+1/2,-z'
'-x+1/2,y+1/2,-z'
'x+1/2,-y+1/2,z'
loop_
_atom_site_label
_atom_site_fract_x
_atom_site_fract_y
_atom_site_fract_z
_atom_site_occupancy
Ca1 0.000 0.000 0.000 1
Ca2 0.208 0.500 0.676 1
Al1 0.000 0.000 0.500 1
Al2 0.173 0.500 0.003 1
Au1 0.010 0.500 0.681 1
Au2 0.124 0.000 0.411 1
Au3 0.141 0.000 0.844 1
Au4 0.151 0.500 0.257 1
# ΔH_f (0 K): -654 meV/atom
# E_tot: -3.758 eV per atom
# Magnetic moment: 0.000 μB per formula unit

---

No. 5
# CaVH, relaxed, DFT PBE
data_CaVH
_cell_length_a 5.211
_cell_length_b 11.325
_cell_length_c 4.320
_cell_angle_alpha 90.00
_cell_angle_beta 126.73
_cell_angle_gamma 90.00
_symmetry_space_group_name_H-M 'C 1 2/m 1'
_symmetry_Int_Tables_number 12
loop_
_symmetry_equiv_pos_as_xyz
'x,y,z'
'-x,-y,-z'
'-x,y,-z'
'x,-y,z'
'x+1/2,y+1/2,z'
'-x+1/2,-y+1/2,-z'
'-x+1/2,y+1/2,-z'
'x+1/2,-y+1/2,z'
loop_
_atom_site_label
_atom_site_fract_x
_atom_site_fract_y
_atom_site_fract_z
_atom_site_occupancy
Ca1 0.000 0.159 0.000 1
V1 0.136 0.500 0.279 1
H1 0.000 0.099 0.500 1
# E_tot: -4.726 eV per atom
# Magnetic moment: 0.000 μB per formula unit

---

No. 6
# TiTc3Bi, relaxed, DFT PBE
data_TiTc3Bi
_cell_length_a 4.923
_cell_length_b 4.923
_cell_length_c 4.923
_cell_angle_alpha 90.00
_cell_angle_beta 90.00
_cell_angle_gamma 90.00
_symmetry_space_group_name_H-M 'P m -3 m'
_symmetry_Int_Tables_number 221
_symmetry_space_group_name_Hall '-P 4 2 3'
loop_
_atom_site_label
_atom_site_fract_x
_atom_site_fract_y
_atom_site_fract_z
_atom_site_occupancy
Ti1 0.000 0.000 0.000 1
Tc1 0.000 0.500 0.500 1
Bi1 0.500 0.500 0.500 1
# ΔH_f (0 K): 2193 meV/atom
# E_tot: -6.382 eV per atom
# Magnetic moment: 2.137 μB per formula unit

---

Please write out number 3 again, unchanged.
# BeSi3, relaxed, DFT PBE
data_BeSi3
_cell_length_a 4.719
_cell_length_b 4.719
_cell_length_c 4.719
_cell_angle_alpha 90.00
_cell_angle_beta 90.00
_cell_angle_gamma 90.00
_symmetry_space_group_name_H-M 'P m -3 n'
_symmetry_Int_Tables_number 223
_symmetry_space_group_name_Hall '-P 4n 2 3'
loop_
_atom_site_label
_atom_site_fract_x
_atom_site_fract_y
_atom_site_fract_z
_atom_site_occupancy
Be1 0.000 0.000 0.000 1
Si1 0.000 0.250 0.500 1
# E_tot: -4.429 eV per atom
# Magnetic moment: 0.000 μB per formula unit

---

What is the formula in the third record?
BeSi3

---

Which of these has the highest magnetic moment?
TiTc3Bi

---

Among the records above, which one has the highest magnetic moment?
TiTc3Bi